(1)
First-principles (PBE) data for a relaxed structure of Tb9Nd4Sm11, as listed in the Alexandria database.

Structure (extended XYZ):
```
24
Lattice="-0.253 0.706 3.642 12.144 -9.010 2.593 3.890 14.617 -2.565" Properties=species:S:1:pos:R:3 pbc="T T T"
Tb 13.078 6.905 1.469
Tb 1.498 2.855 1.449
Tb 8.214 -2.987 3.049
Tb 14.283 3.459 2.221
Tb 11.462 -1.851 3.055
Tb 7.890 3.157 1.835
Tb 4.318 8.165 0.615
Tb 2.702 -0.591 2.201
Tb 7.566 9.301 0.621
Sm 5.120 -3.011 0.940
Sm 9.126 -0.371 0.707
Sm 0.000 0.000 0.000
Sm 10.914 8.618 -0.912
Sm 4.647 1.625 0.008
Sm 13.903 0.061 0.956
Sm 5.201 10.863 -1.745
Sm 6.908 5.979 -0.679
Sm 11.387 3.982 0.020
Sm 2.130 5.546 -0.928
Sm 10.833 -5.256 1.773
Nd 4.575 4.670 1.311
Nd 9.541 6.407 1.320
Nd 11.205 1.644 2.359
Nd 6.239 -0.093 2.351
```

## Properties
* symmetry: Cmmm (65)
* formation enthalpy at 0 K: 62 meV per atom
* energy: -4.632 eV per atom
* DOS(E_F): 30.99 states/eV/cell

***

(2)
First-principles (PBE) data for a relaxed structure of Co2Pb, as listed in the Alexandria database.

Structure (extended XYZ):
```
6
Lattice="-2.019 -1.166 6.179 -3.246 4.441 3.655 0.611 -4.015 -5.208" Properties=species:S:1:pos:R:3 pbc="T T T"
Pb -2.394 -1.540 3.643
Pb -2.260 0.799 0.984
Co -0.334 -1.228 0.230
Co -1.075 -3.954 0.741
Co -3.185 1.981 5.950
Co -2.080 1.293 3.885
```

## Properties
* symmetry: Immm (71)
* formation enthalpy at 0 K: 400 meV per atom
* energy: -5.574 eV per atom
* DOS(E_F): 5.77 states/eV/cell

***

(3)
First-principles (PBE) data for a relaxed structure of Be2NbPIr, as listed in the Alexandria database.

Structure (extended XYZ):
```
5
Lattice="-1.281 3.618 -1.851 -2.664 0.912 3.624 3.225 2.086 1.845" Properties=species:S:1:pos:R:3 pbc="T T T"
Ir -0.360 3.308 1.809
P -1.332 0.456 1.812
Be 1.612 1.043 0.923
Be -0.640 1.809 -0.926
Nb 0.000 0.000 0.000
```

## Properties
* symmetry: P4/mmm (123)
* formation enthalpy at 0 K: 1431 meV per atom
* energy: -4.927 eV per atom
* DOS(E_F): 3.41 states/eV/cell

***

(4)
First-principles (PBE) data for a relaxed structure of RbPb2Au4, as listed in the Alexandria database.

Structure (extended XYZ):
```
14
Lattice="-3.487 0.912 -7.065 6.741 4.172 -0.224 0.909 -7.800 1.109" Properties=species:S:1:pos:R:3 pbc="T T T"
Au -0.945 -5.909 -2.624
Au 2.776 2.229 -1.430
Au 1.176 -4.381 -0.611
Au 0.877 -2.169 -3.041
Au 1.388 -4.945 -4.749
Au 3.287 -0.547 -3.139
Au 5.109 3.193 -3.555
Au 2.987 1.665 -5.568
Pb -1.197 -3.689 -4.776
Pb 0.835 0.917 -3.463
Pb 3.328 -3.633 -2.716
Pb 5.360 0.973 -1.404
Rb 1.913 -0.907 0.221
Rb 5.738 -2.721 0.664
```

## Properties
* symmetry: I4/mcm (140)
* formation enthalpy at 0 K: -148 meV per atom
* energy: -3.218 eV per atom
* DOS(E_F): 3.48 states/eV/cell

***

(5)
First-principles (PBE) data for a relaxed structure of Ce2SmGe2Pd2, as listed in the Alexandria database.

Structure (extended XYZ):
```
7
Lattice="-0.767 -3.918 -1.884 0.944 -3.720 2.180 -8.151 -2.602 3.556" Properties=species:S:1:pos:R:3 pbc="T T T"
Pd -1.740 -5.105 0.980
Pd -6.233 -5.136 2.872
Ge -1.724 -2.558 0.850
Ge -6.249 -7.682 3.003
Ce -4.725 -2.579 2.114
Ce -3.248 -7.661 1.739
Sm 0.000 0.000 0.000
```

## Properties
* symmetry: R-3m (166)
* formation enthalpy at 0 K: -781 meV per atom
* energy: -5.954 eV per atom
* DOS(E_F): 8.44 states/eV/cell

***

(6)
First-principles (PBE) data for a relaxed structure of LiTaBe, as listed in the Alexandria database.

Structure (extended XYZ):
```
3
Lattice="-3.270 -2.309 1.759 3.870 -1.899 -0.733 0.800 0.701 2.408" Properties=species:S:1:pos:R:3 pbc="T T T"
Ta 1.490 -2.036 0.098
Be 0.000 0.000 0.000
Li -0.490 -1.822 2.132
```

## Properties
* symmetry: P-6m2 (187)
* formation enthalpy at 0 K: 717 meV per atom
* distance to the lowest polymorph of the same formula: 56.77 kJ per mole of atoms
* energy: -5.114 eV per atom
* DOS(E_F): 2.21 states/eV/cell

***

(7)
First-principles (PBE) data for a relaxed structure of Ti3Fe, as listed in the Alexandria database.

Structure (extended XYZ):
```
4
Lattice="-1.439 -1.315 2.173 1.114 -2.465 -0.755 6.169 1.296 4.869" Properties=species:S:1:pos:R:3 pbc="T T T"
Ti 3.809 0.294 4.661
Ti 0.718 -1.705 1.404
Ti 3.516 -0.611 1.958
Fe 6.025 1.266 4.755
```

## Properties
* symmetry: Pmm2 (25)
* formation enthalpy at 0 K: 154 meV per atom
* energy: -7.883 eV per atom
* DOS(E_F): 3.83 states/eV/cell

***

(8)
First-principles (PBE) data for a relaxed structure of V2MoHIr, as listed in the Alexandria database.

Structure (extended XYZ):
```
5
Lattice="-2.280 3.022 1.045 0.461 -0.960 3.780 3.099 2.270 0.198" Properties=species:S:1:pos:R:3 pbc="T T T"
V -1.140 1.511 0.523
V 0.231 -0.480 1.890
Ir 0.640 2.166 2.512
Mo 1.550 1.135 0.099
H 0.000 0.000 0.000
```

## Properties
* symmetry: P4/mmm (123)
* distance to the lowest polymorph of the same formula: 0.00 kJ per mole of atoms
* energy: -8.420 eV per atom
* DOS(E_F): 5.00 states/eV/cell